Below is Ca4ZnAs after structural relaxation, with properties calculated at the GGA-PBE level.

a b c (Å): 6.5332 6.5332 6.5332
angles (deg): 60.00 60.00 60.00
Atoms (fractional coordinates):
Ca: 0.3759 0.3759 0.3759
Ca: 0.3759 0.3759 0.8723
Ca: 0.3759 0.8723 0.3759
Ca: 0.8723 0.3759 0.3759
Zn: 0.0000 0.0000 0.0000
As: 0.7500 0.7500 0.7500

Values from the calculation:
SG: F-43m, No. 216
D(E_F): 1.227 states/eV per atom
total DFT energy (no corrections): -11.9 eV per formula unit